Entry 1:
Cs3TaBr6 | GGA-PBE | optimized geometry

Geometry as POSCAR:
```
Cs3TaBr6
1.0
0.0000 6.0267 6.0267
6.0267 0.0000 6.0267
6.0267 6.0267 0.0000
Cs Ta Br
3 1 6
Cartesian
0.0000 0.0000 0.0000
3.0134 3.0134 3.0134
9.0401 9.0401 9.0401
6.0267 6.0267 6.0267
6.0267 6.0267 3.3936
6.0267 3.3936 6.0267
8.6599 6.0267 6.0267
3.3936 6.0267 6.0267
6.0267 8.6599 6.0267
6.0267 6.0267 8.6599
```

---

Entry 2:
USbPdN | GGA-PBE | optimized geometry

Geometry as POSCAR:
```
USbPdN
1.0
4.0316 0.0000 0.0000
0.0000 4.0316 0.0000
0.0000 0.0000 8.9667
U Sb Pd N
2 2 2 2
Cartesian
1.0079 1.0079 1.0843
3.0237 3.0237 7.8824
1.0079 1.0079 6.2387
3.0237 3.0237 2.7280
1.0079 3.0237 4.4834
3.0237 1.0079 4.4834
1.0079 3.0237 0.0000
3.0237 1.0079 0.0000
```

---

no.,uncorrected formation energy (eV per formula unit),uncorrected energy (eV/f.u.)
1,-13.02,-37.47
2,-3.48,-32.41